Computed, not measured: a crystal of YCrMo2 relaxed with PBEsol at the meta-GGA SCAN level of DFT.

abc: 3.177 4.611 8.988
angles: 90.00 90.00 90.00
Space group Cmm2 (No. 35)
Symmetry-distinct sites (fractional):
Y (0.000, 0.000, 0.000) (multiplicity 2)
Cr (0.000, 0.500, 0.268) (multiplicity 2)
Mo (0.000, 0.000, 0.476) (multiplicity 2)
Mo (0.000, 0.500, 0.712) (multiplicity 2)

Results
formation energy from the elements: 0.52 eV/atom
distance to the lowest polymorph of the same formula: 0.203 eV/atom